(1)
# MgTl2As, PBEsol geometry, DFT meta-GGA SCAN
# Size of the total moment (μB per formula unit): 0.0
# D(E_F) (states/eV/atom): 0.37
# Energy of formation from the pure elements (eV/f.u.): -0.37
data_MgTl2As
_chemical_formula_sum 'Mg1 Tl2 As1'
_cell_length_a 3.548
_cell_length_b 3.548
_cell_length_c 7.787
_cell_angle_alpha 90.00
_cell_angle_beta 90.00
_cell_angle_gamma 90.00
_space_group_name_H-M_alt 'P 4 m m'
_space_group_IT_number 99
_space_group_name_Hall 'P 4 -2'
loop_
_atom_site_label
_atom_site_type_symbol
_atom_site_fract_x
_atom_site_fract_y
_atom_site_fract_z
Mg1 Mg 0.000 0.000 0.000
Tl1 Tl 0.000 0.000 0.583
Tl2 Tl 0.500 0.500 0.270
As1 As 0.500 0.500 0.851

---

(2)
# BeCdNi2, PBEsol geometry, DFT meta-GGA SCAN
# Size of the total moment (μB per formula unit): 0.0
# D(E_F) (states/eV/atom): 0.31
# Energy of formation from the pure elements (eV/f.u.): -0.70
data_BeCdNi2
_chemical_formula_sum 'Be1 Cd1 Ni2'
_cell_length_a 2.685
_cell_length_b 2.685
_cell_length_c 6.408
_cell_angle_alpha 90.00
_cell_angle_beta 90.00
_cell_angle_gamma 90.00
_space_group_name_H-M_alt 'P 4/m m m'
_space_group_IT_number 123
_space_group_name_Hall '-P 4 2'
loop_
_atom_site_label
_atom_site_type_symbol
_atom_site_fract_x
_atom_site_fract_y
_atom_site_fract_z
Be1 Be 0.000 0.000 0.000
Cd1 Cd 0.000 0.000 0.500
Ni1 Ni 0.500 0.500 0.194

---

(3)
# MgBeB3, PBEsol geometry, DFT meta-GGA SCAN
# Size of the total moment (μB per formula unit): 0.0
# D(E_F) (states/eV/atom): 0.38
# Energy of formation from the pure elements (eV/f.u.): 13.12
data_MgBeB3
_chemical_formula_sum 'Mg1 Be1 B3'
_cell_length_a 4.193
_cell_length_b 4.193
_cell_length_c 4.193
_cell_angle_alpha 90.00
_cell_angle_beta 90.00
_cell_angle_gamma 90.00
_space_group_name_H-M_alt 'P m -3 m'
_space_group_IT_number 221
_space_group_name_Hall '-P 4 2 3'
loop_
_atom_site_label
_atom_site_type_symbol
_atom_site_fract_x
_atom_site_fract_y
_atom_site_fract_z
Mg1 Mg 0.000 0.000 0.000
Be1 Be 0.500 0.500 0.500
B1 B 0.000 0.000 0.500

---

(4)
# Eu2CdGa, PBEsol geometry, DFT meta-GGA SCAN
# Size of the total moment (μB per formula unit): 14.3
# D(E_F) (states/eV/atom): 2.08
# Energy of formation from the pure elements (eV/f.u.): -1.82
data_Eu2CdGa
_chemical_formula_sum 'Eu8 Cd4 Ga4'
_cell_length_a 7.495
_cell_length_b 7.495
_cell_length_c 7.495
_cell_angle_alpha 90.00
_cell_angle_beta 90.00
_cell_angle_gamma 90.00
_space_group_name_H-M_alt 'F m -3 m'
_space_group_IT_number 225
_space_group_name_Hall '-F 4 2 3'
loop_
_atom_site_label
_atom_site_type_symbol
_atom_site_fract_x
_atom_site_fract_y
_atom_site_fract_z
Eu1 Eu 0.250 0.250 0.250
Cd1 Cd 0.000 0.000 0.000
Ga1 Ga 0.000 0.000 0.500

---

Question: Which value of D(E_F) does entry 3 give?
Answer: 0.38 states/eV/atom

---

Question: Which value of D(E_F) does entry 1 give?
Answer: 0.37 states/eV/atom